# 1
Material: Be4FePd
Method: DFT, PBE-GGA
State: relaxed

Properties
Formation energy (eV/f.u.): -1.55
D(E_F) (states/eV per cell): 18.1

a = 6.0915 Å, b = 6.0915 Å, c = 6.0915 Å
α = 90.00°, β = 90.00°, γ = 90.00°
Space group F-43m (No. 216)
One atom of each set of equivalent atoms:
Be 0.1235 0.1235 0.1235
Fe 0.2500 0.2500 0.7500
Pd 0.0000 0.0000 0.5000



# 2
Material: UH4Ru
Method: DFT, PBE-GGA
State: relaxed

Properties
E (eV/atom): -5.7033
D(E_F) (states/eV per cell): 5.8

a = 3.4059 Å, b = 3.4063 Å, c = 4.7127 Å
α = 90.00°, β = 90.21°, γ = 90.00°
Space group P2/m (No. 10)
One atom of each set of equivalent atoms:
U 0.0000 0.0000 0.0000
H 0.0000 0.5000 0.5000
H 0.4951 0.5000 0.8561
H 0.5000 0.0000 0.5000
Ru 0.5000 0.5000 0.5000



# 3
Material: Ti6Al16Pt7
Method: DFT, PBE-GGA
State: relaxed

Properties
Formation energy (eV/f.u.): -23.68
D(E_F) (states/eV per cell): 30.3

a = 12.2303 Å, b = 12.2303 Å, c = 12.2303 Å
α = 90.00°, β = 90.00°, γ = 90.00°
Space group Fm-3m (No. 225)
One atom of each set of equivalent atoms:
Ti 0.0000 0.0000 0.1723
Al 0.1202 0.1202 0.3798
Al 0.1601 0.1601 0.1601
Pt 0.0000 0.0000 0.5000
Pt 0.0000 0.2500 0.2500



# 4
Material: BeNbB4
Method: DFT, PBE-GGA
State: relaxed

Properties
Formation energy (eV/f.u.): -1.56
D(E_F) (states/eV per cell): 3.6

a = 6.9634 Å, b = 8.9792 Å, c = 3.1545 Å
α = 90.00°, β = 90.00°, γ = 90.00°
Space group Cmmm (No. 65)
One atom of each set of equivalent atoms:
Be 0.1752 0.0000 0.0000
Nb 0.0000 0.2981 0.0000
B 0.0000 0.0931 0.5000
B 0.1227 0.5000 0.5000
B 0.2264 0.1579 0.5000



# 5
Material: NaSr2TlAs
Method: DFT, PBE-GGA
State: relaxed

Properties
Formation energy (eV/f.u.): -2.19
D(E_F) (states/eV per cell): 3.7

a = 6.0108 Å, b = 6.0108 Å, c = 5.5087 Å
α = 90.00°, β = 90.00°, γ = 90.00°
Space group P4/mmm (No. 123)
One atom of each set of equivalent atoms:
Na 0.0000 0.0000 0.0000
Sr 0.0000 0.5000 0.5000
Tl 0.5000 0.5000 0.0000
As 0.0000 0.0000 0.5000



# 6
Material: B9H11
Method: DFT, PBE-GGA
State: relaxed

Properties
E (eV/atom): -4.9609
D(E_F) (states/eV per cell): 0.0

a = 11.0343 Å, b = 12.3324 Å, c = 10.8747 Å
α = 90.00°, β = 90.00°, γ = 90.00°
Space group Pccn (No. 56)
One atom of each set of equivalent atoms:
B 0.0032 0.1043 0.2344
B 0.0448 0.0319 0.7936
B 0.0565 0.6140 0.9990
B 0.0650 0.1421 0.3970
B 0.0736 0.0314 0.5061
B 0.0863 0.6597 0.1486
B 0.1413 0.0649 0.6688
B 0.1513 0.5610 0.2473
B 0.1754 0.5523 0.0853
H 0.0350 0.0800 0.8879
H 0.0345 0.1043 0.7035
H 0.0410 0.1556 0.1498
H 0.0641 0.0116 0.2322
H 0.0841 0.6705 0.9146
H 0.1161 0.7479 0.6609
H 0.1334 0.0547 0.4001
H 0.1325 0.2170 0.4065
H 0.2087 0.1403 0.6747
H 0.2241 0.5583 0.5452
H 0.2323 0.5880 0.3131



# 7
Material: Ac2Cd16Rh
Method: DFT, PBE-GGA
State: relaxed

Properties
Formation energy (eV/f.u.): -3.37
D(E_F) (states/eV per cell): 23.5

a = 10.2151 Å, b = 10.2151 Å, c = 14.9203 Å
α = 90.00°, β = 90.00°, γ = 120.00°
Space group R3m (No. 160, hexagonal axes)
One atom of each set of equivalent atoms:
Ac 0.0000 0.0000 0.0000
Ac 0.0000 0.0000 0.3397
Cd 0.0000 0.0000 0.5875
Cd 0.0000 0.2888 0.6787
Cd 0.0086 0.5043 0.8251
Cd 0.1701 0.3402 0.8603
Cd 0.1743 0.3486 0.5115
Rh 0.0000 0.0000 0.7899



# 8
Material: Li5In3Pb3
Method: DFT, PBE-GGA
State: relaxed

Properties
Formation energy (eV/f.u.): -0.50
D(E_F) (states/eV per cell): 4.7

a = 9.6923 Å, b = 9.6923 Å, c = 3.5304 Å
α = 90.00°, β = 90.00°, γ = 120.00°
Space group P-62m (No. 189)
One atom of each set of equivalent atoms:
Li 0.0000 0.6629 0.0000
Li 0.3333 0.6667 0.0000
In 0.0000 0.1769 0.0000
Pb 0.0000 0.4304 0.5000



> Which value of D(E_F) does entry 2 give?

5.8 states/eV per cell